Entry 1:
{"formula": "TbThSc2", "functional": "PBE", "state": "optimized geometry", "lattice_angstrom": [[3.8223, 0.0000, 0.0000], [0.0000, 3.8223, 0.0000], [0.0000, 0.0000, 7.7207]], "species": ["Tb", "Th", "Sc", "Sc"], "frac_coords": [[0.5000, 0.5000, 0.5000], [0.5000, 0.5000, 0.0000], [0.0000, 0.0000, 0.2431], [0.0000, 0.0000, 0.7569]], "relative_energy_ev_per_fu": 0.15, "e_tot_ry_per_atom": -0.4499, "total_magnetization_mub_per_fu": 0.00, "density_g_cm3": 7.08}



Entry 2:
{"formula": "Tc2OsRu", "functional": "PBE", "state": "optimized geometry", "lattice_angstrom": [[-1.3756, -1.5881, -4.2445], [0.7770, -3.6653, 2.8969], [-2.5938, 0.0884, 0.8075]], "species": ["Ru", "Tc", "Tc", "Os"], "frac_coords": [[0.0000, 0.5000, 0.5000], [0.5000, 0.5000, 0.0000], [0.0000, 0.0000, 0.0000], [0.5000, 0.0000, 0.5000]], "relative_energy_ev_per_fu": 0.47, "e_tot_ry_per_atom": -0.7548, "total_magnetization_mub_per_fu": 0.00, "density_g_cm3": 14.09}



Entry 3:
{"formula": "K2NiPt", "functional": "PBE", "state": "optimized geometry", "lattice_angstrom": [[2.9870, -0.0007, 0.0000], [0.0218, 2.9869, 0.0000], [0.0000, 0.0000, 10.0400]], "species": ["K", "K", "Pt", "Ni"], "frac_coords": [[0.0000, 0.0000, 0.5046], [0.0000, 0.0000, 0.9954], [0.5000, 0.5000, 0.7500], [0.5000, 0.5000, 0.2500]], "relative_energy_ev_per_fu": 1.97, "e_tot_ry_per_atom": -0.2143, "total_magnetization_mub_per_fu": 0.29, "density_g_cm3": 6.15}



Entry 4:
{"formula": "Ta2BiF", "functional": "PBE", "state": "optimized geometry", "lattice_angstrom": [[1.2223, -3.3870, 2.9950], [-2.8876, -3.6084, 0.7598], [1.1023, -4.2597, -1.6050]], "species": ["Ta", "Ta", "Bi", "F"], "frac_coords": [[0.7500, 0.7500, 0.7500], [0.2500, 0.2500, 0.2500], [0.5000, 0.5000, 0.5000], [0.0000, 0.0000, 0.0000]], "relative_energy_ev_per_fu": 0.00, "e_tot_ry_per_atom": -0.5228, "total_magnetization_mub_per_fu": 0.00, "density_g_cm3": 13.48, "formation_energy_uncorrected_ev_per_atom": 0.251}